A geometry-optimized Pr2Sm2YHo4 structure. Source: Alexandria via LeMat-Bulk, functional GGA-PBE.

CIF file:
```
data_Pr2Sm2YHo4
_space_group_name_H-M_alt 'C 1 2/m 1'
_space_group_IT_number 12
_space_group_name_Hall '-C 2y'
_cell_length_a 18.8313
_cell_length_b 3.6293
_cell_length_c 9.6502
_cell_angle_alpha 90.00
_cell_angle_beta 115.76
_cell_angle_gamma 90.00
loop_
_atom_site_label
_atom_site_type_symbol
_atom_site_fract_x
_atom_site_fract_y
_atom_site_fract_z
Pr1 Pr 0.1655 0.0000 0.0010
Sm1 Sm 0.1470 0.5000 0.6623
Y1 Y 0.0000 0.5000 0.0000
Ho1 Ho 0.0197 0.0000 0.3340
Ho2 Ho 0.1850 0.5000 0.3368
```

Properties
The density of states at the Fermi level is 1.39 states/eV/atom. The calculated total energy comes out at -4.860 eV/atom. The calculated formation energy comes out at 0.00 eV per atom.

A geometry-optimized RbTl6Au structure. Source: Alexandria via LeMat-Bulk, functional GGA-PBE.

CIF file:
```
data_RbTl6Au
_space_group_name_H-M_alt 'P 4/m m m'
_space_group_IT_number 123
_space_group_name_Hall '-P 4 2'
_cell_length_a 5.2381
_cell_length_b 5.2381
_cell_length_c 9.8613
_cell_angle_alpha 90.00
_cell_angle_beta 90.00
_cell_angle_gamma 90.00
loop_
_atom_site_label
_atom_site_type_symbol
_atom_site_fract_x
_atom_site_fract_y
_atom_site_fract_z
Rb1 Rb 0.0000 0.0000 0.0000
Tl1 Tl 0.0000 0.5000 0.3370
Tl2 Tl 0.5000 0.5000 0.1540
Au1 Au 0.0000 0.0000 0.5000
```

Properties
The density of states at the Fermi level is 0.44 states/eV/atom. The calculated total energy comes out at -2.346 eV/atom. The calculated formation energy comes out at -0.04 eV per atom.

A geometry-optimized Y2ZrAl structure. Source: Alexandria via LeMat-Bulk, functional GGA-PBE.

CIF file:
```
data_Y2ZrAl
_space_group_name_H-M_alt 'C m m m'
_space_group_IT_number 65
_space_group_name_Hall '-C 2 2'
_cell_length_a 6.6720
_cell_length_b 9.0936
_cell_length_c 3.3508
_cell_angle_alpha 90.00
_cell_angle_beta 90.00
_cell_angle_gamma 90.00
loop_
_atom_site_label
_atom_site_type_symbol
_atom_site_fract_x
_atom_site_fract_y
_atom_site_fract_z
Y1 Y 0.2500 0.2500 0.0000
Zr1 Zr 0.0000 0.0000 0.5000
Al1 Al 0.0000 0.5000 0.5000
```

Properties
The density of states at the Fermi level is 1.72 states/eV/atom. The calculated total energy comes out at -6.330 eV/atom. The calculated formation energy comes out at -0.03 eV per atom.